Entry 1:
Below is a geometry-optimized SiPPt2 structure, with properties calculated at the PBE-GGA level.

As for the spin magnetization: 0.0 μB/cell. The raw total energy comes out at -5.79 eV/atom. The calculation puts the density at 12.61 g cm⁻³. For the formation energy without anion corrections, the calculation gives -0.06 eV/atom.

The structure belongs to space group P4/mmm (No. 123); the cell edges are 4.410, 4.410 and 3.041 Å and the angles 90.00°, 90.00° and 90.00°. The distinct sites, in fractional coordinates, are Si at (0.000, 0.000, 0.000), P at (0.500, 0.500, 0.000) and Pt at (0.000, 0.500, 0.500).


Entry 2:
Below is a geometry-optimized SiPPt structure, with properties calculated at the PBE-GGA level.

As for the spin magnetization: 0.0 μB/cell. The raw total energy comes out at -5.61 eV/atom. The offset from the most stable computed form is 568 meV/atom. The calculation puts the density at 8.61 g cm⁻³. For the formation energy without anion corrections, the calculation gives 0.01 eV/atom.

The structure belongs to space group F-43m (No. 216); the cell edges are 5.809, 5.809 and 5.809 Å and the angles 90.00°, 90.00° and 90.00°. The distinct sites, in fractional coordinates, are Si at (0.000, 0.000, 0.000), P at (0.250, 0.250, 0.250) and Pt at (0.250, 0.250, 0.750).


Entry 3:
Below is a geometry-optimized Sm3Si2PPt9 structure, with properties calculated at the PBE-GGA level.

As for the spin magnetization: 0.0 μB/cell. The raw total energy comes out at -6.43 eV/atom. The calculation puts the density at 12.70 g cm⁻³. For the formation energy without anion corrections, the calculation gives -0.78 eV/atom.

The structure belongs to space group P-3m1 (No. 164); the cell edges are 6.5562, 6.5562 and 8.0566 Å and the angles 90.00°, 90.00° and 120.00°. The distinct sites, in fractional coordinates, are Sm at (0.0000, 0.0000, 0.0000), Sm at (0.3333, 0.6667, 0.6802), Si at (0.3333, 0.6667, 0.1952), P at (0.0000, 0.0000, 0.5000), Pt at (0.0000, 0.5000, 0.0000) and Pt at (0.1443, 0.2885, 0.2938).


Entry 4:
Below is a geometry-optimized Sm3SiP2Pt9 structure, with properties calculated at the PBE-GGA level.

As for the spin magnetization: 0.0 μB/cell. The raw total energy comes out at -6.43 eV/atom. The calculation puts the density at 12.82 g cm⁻³. For the formation energy without anion corrections, the calculation gives -0.78 eV/atom.

The structure belongs to space group P-3m1 (No. 164); the cell edges are 6.4552, 6.4552 and 8.2411 Å and the angles 90.00°, 90.00° and 120.00°. The distinct sites, in fractional coordinates, are Sm at (0.0000, 0.0000, 0.0000), Sm at (0.3333, 0.6667, 0.6637), Si at (0.0000, 0.0000, 0.5000), P at (0.3333, 0.6667, 0.1888), Pt at (0.0000, 0.5000, 0.0000) and Pt at (0.1464, 0.2927, 0.2895).


Entry 5:
Below is a geometry-optimized Sr2SiPPt6 structure, with properties calculated at the PBE-GGA level.

As for the spin magnetization: 0.0 μB/cell. The raw total energy comes out at -5.88 eV/atom. The calculation puts the density at 11.56 g cm⁻³. For the formation energy without anion corrections, the calculation gives -0.83 eV/atom.

The structure belongs to space group C2/m (No. 12); the cell edges are 11.371, 6.548 and 6.613 Å and the angles 90.00°, 124.94° and 90.00°. The distinct sites, in fractional coordinates, are Sr at (0.213, 0.000, 0.139), Si at (0.000, 0.500, 0.000), P at (0.000, 0.000, 0.500), Pt at (0.043, 0.290, 0.338) and Pt at (0.247, 0.000, 0.663).


Entry 6:
Below is a geometry-optimized Tb3Si2PPt9 structure, with properties calculated at the PBE-GGA level.

As for the spin magnetization: 0.0 μB/cell. The raw total energy comes out at -6.41 eV/atom. The calculation puts the density at 12.97 g cm⁻³. For the formation energy without anion corrections, the calculation gives -0.77 eV/atom.

The structure belongs to space group P-3m1 (No. 164); the cell edges are 6.5411, 6.5411 and 8.0128 Å and the angles 90.00°, 90.00° and 120.00°. The distinct sites, in fractional coordinates, are Tb at (0.0000, 0.0000, 0.0000), Tb at (0.3333, 0.6667, 0.6920), Si at (0.3333, 0.6667, 0.1971), P at (0.0000, 0.0000, 0.5000), Pt at (0.0000, 0.5000, 0.0000) and Pt at (0.1435, 0.2870, 0.2913).


Entry 7:
Below is a geometry-optimized Tb2SiPPt6 structure, with properties calculated at the PBE-GGA level.

As for the spin magnetization: 0.0 μB/cell. The raw total energy comes out at -6.61 eV/atom. The calculation puts the density at 13.52 g cm⁻³. For the formation energy without anion corrections, the calculation gives -0.97 eV/atom.

The structure belongs to space group Pmmn (No. 59, origin choice 2); the cell edges are 5.540, 8.357 and 8.208 Å and the angles 90.00°, 90.00° and 90.00°. The distinct sites, in fractional coordinates, are Tb at (0.250, 0.006, 0.233), Si at (0.250, 0.750, 0.768), P at (0.250, 0.250, 0.765), Pt at (0.001, 0.250, 0.485), Pt at (0.001, 0.750, 0.006) and Pt at (0.250, 0.006, 0.629).


Entry 8:
Below is a geometry-optimized Th2SiPPt6 structure, with properties calculated at the PBE-GGA level.

As for the spin magnetization: 0.0 μB/cell. The raw total energy comes out at -7.21 eV/atom. The calculation puts the density at 14.32 g cm⁻³. For the formation energy without anion corrections, the calculation gives -1.02 eV/atom.

The structure belongs to space group Pmmn (No. 59, origin choice 2); the cell edges are 5.514, 8.235 and 8.649 Å and the angles 90.00°, 90.00° and 90.00°. The distinct sites, in fractional coordinates, are Th at (0.250, 0.002, 0.236), Si at (0.250, 0.750, 0.765), P at (0.250, 0.250, 0.783), Pt at (0.001, 0.750, 0.995), Pt at (0.003, 0.250, 0.474) and Pt at (0.250, 0.015, 0.633).


Entry 9:
Below is a geometry-optimized Tm2SiPPt6 structure, with properties calculated at the PBE-GGA level.

As for the spin magnetization: 0.0 μB/cell. The raw total energy comes out at -6.55 eV/atom. The calculation puts the density at 13.88 g cm⁻³. For the formation energy without anion corrections, the calculation gives -0.95 eV/atom.

The structure belongs to space group Pmmn (No. 59, origin choice 2); the cell edges are 5.519, 8.336 and 8.152 Å and the angles 90.00°, 90.00° and 90.00°. The distinct sites, in fractional coordinates, are Tm at (0.250, 0.011, 0.233), Si at (0.250, 0.750, 0.769), P at (0.250, 0.250, 0.764), Pt at (0.002, 0.250, 0.484), Pt at (0.002, 0.750, 0.008) and Pt at (0.250, 0.006, 0.630).


Entry 10:
Below is a geometry-optimized Y2SiPPt6 structure, with properties calculated at the PBE-GGA level.

As for the spin magnetization: 0.0 μB/cell. The raw total energy comes out at -6.97 eV/atom. The calculation puts the density at 12.31 g cm⁻³. For the formation energy without anion corrections, the calculation gives -0.96 eV/atom.

The structure belongs to space group Pmmn (No. 59, origin choice 2); the cell edges are 5.542, 8.355 and 8.200 Å and the angles 90.00°, 90.00° and 90.00°. The distinct sites, in fractional coordinates, are Y at (0.250, 0.007, 0.233), Si at (0.250, 0.750, 0.768), P at (0.250, 0.250, 0.765), Pt at (0.001, 0.250, 0.485), Pt at (0.002, 0.750, 0.006) and Pt at (0.250, 0.006, 0.629).


Entry 11:
Below is a geometry-optimized YSi2PPt structure, with properties calculated at the PBE-GGA level.

As for the spin magnetization: 0.0 μB/cell. The raw total energy comes out at -5.69 eV/atom. The calculation puts the density at 5.49 g cm⁻³. For the formation energy without anion corrections, the calculation gives 0.07 eV/atom.

The structure belongs to space group P4/mmm (No. 123); the cell edges are 4.530, 4.530 and 5.474 Å and the angles 90.00°, 90.00° and 90.00°. The distinct sites, in fractional coordinates, are Y at (0.000, 0.000, 0.000), Si at (0.000, 0.500, 0.500), P at (0.500, 0.500, 0.000) and Pt at (0.500, 0.500, 0.500).


Entry 12:
Below is a geometry-optimized SmPPt6 structure, with properties calculated at the PBE-GGA level.

As for the spin magnetization: 0.0 μB/cell. The raw total energy comes out at -6.35 eV/atom. The calculation puts the energy of formation at -0.55 eV per atom. The calculation puts the density at 14.31 g cm⁻³.

The structure belongs to space group R-3m (No. 166, hexagonal axes); the cell edges are 5.5591, 5.5591 and 17.5848 Å and the angles 90.00°, 90.00° and 120.00°. The distinct sites, in fractional coordinates, are Sm at (0.0000, 0.0000, 0.0000), P at (0.0000, 0.0000, 0.5000) and Pt at (0.0110, 0.5055, 0.9218).